## HfFeO3 (PBE with a Hubbard U)

Data for a relaxed HfFeO3 crystal.

a b c (Å): 4.036 4.036 4.036
angles (deg): 90.00 90.00 90.00
Space group Pm-3m (No. 221)
Inequivalent atoms, fractional coordinates:
1 Hf 0.000 0.000 0.000 (multiplicity 1)
2 Fe 0.500 0.500 0.500 (multiplicity 1)
3 O 0.000 0.000 0.500 (multiplicity 3)

Output
For the energy, the calculation gives -8.032 eV per atom. Its density of states at the Fermi level is 0.7579 states/eV per atom.